Computed, not measured: TbPaNi2 after structural relaxation at the PBE level of DFT.

Cell: 6.1851 4.2886 6.2088 Å, 90.00 114.33 90.00°
With the nearest neighbours (Å) after each atom.
Element x y z (fractional)
Tb (0.1134, 0.2500, 0.3834)  6 Ni 2.75-2.85
Tb (0.8866, 0.7500, 0.6166)  6 Ni 2.75-2.85
Pa (0.4030, 0.7500, 0.0994)  6 Ni 2.74-3.04, 2 Pa 2.96
Pa (0.5970, 0.2500, 0.9006)  6 Ni 2.74-3.04, 2 Pa 2.96
Ni (0.1018, 0.2500, 0.9352)  3 Pa 2.75-3.04, 3 Tb 2.75-2.85, 2 Ni 2.77
Ni (0.4340, 0.7500, 0.6008)  3 Pa 2.74-3.04, 3 Tb 2.76-2.85, 2 Ni 2.77
Ni (0.5660, 0.2500, 0.3992)  3 Pa 2.74-3.04, 3 Tb 2.76-2.85, 2 Ni 2.77
Ni (0.8982, 0.7500, 0.0648)  3 Pa 2.75-3.04, 3 Tb 2.75-2.85, 2 Ni 2.77

Summary:
Offset from the most stable computed form   0 meV/atom
Crystal system   monoclinic
Space group   P2_1/m (11)
DOS at the Fermi energy   8.77 states/eV/cell
Formation energy from the elements   -348 meV per atom
Total moment   0.00 Bohr magnetons per cell


Computed, not measured: SiAg2Sb after structural relaxation at the PBE level of DFT.

Cell: 3.0652 3.8219 7.0388 Å, 90.00 102.09 90.00°
With the nearest neighbours (Å) after each atom.
Element x y z (fractional)
Si (0.0000, 0.0000, 0.0000)  5 Ag 2.74-2.86, 2 Sb 2.87
Ag (0.2009, 0.0000, 0.4157)  1 Si 2.86, 6 Ag 2.95-3.07, 4 Sb 3.06-3.12
Ag (0.5846, 0.5000, 0.1772)  4 Si 2.74, 4 Ag 2.95
Sb (0.8501, 0.5000, 0.6889)  2 Si 2.87, 4 Ag 3.06-3.12, 2 Sb 3.07

Summary:
Offset from the most stable computed form   19 meV/atom
Crystal system   monoclinic
Space group   Pm (6)
Formation energy without anion corrections   262.8 meV/atom
DOS at the Fermi energy   1.20 states/eV/cell
Total moment   0.00 Bohr magnetons per cell


Computed, not measured: Sc2CuSi2 after structural relaxation at the PBE level of DFT.

Cell: 6.1355 6.1355 6.1355 Å, 136.89 136.89 62.61°
With the nearest neighbours (Å) after each atom.
Element x y z (fractional)
Sc (0.2500, 0.7500, 0.5000)  4 Si 2.71
Sc (0.7500, 0.2500, 0.5000)  4 Si 2.71
Cu (0.0000, 0.0000, 0.0000)  8 Si 3.38, 8 Sc 3.46
Si (0.3930, 0.3930, 0.0000)  1 Si 2.24
Si (0.6070, 0.6070, 0.0000)  1 Si 2.24

Summary:
Crystal system   tetragonal
Space group   I4/mmm (139)
Formation energy without anion corrections   156.0 meV/atom
DOS at the Fermi energy   5.71 states/eV/cell
Total moment   0.00 Bohr magnetons per cell